A PBEsol-optimized structure of Sc2AlPb. Source: Alexandria, functional SCAN.

Cell lengths 3.4862, 4.2377, 6.0180 Å; angles 90.00, 90.00, 90.00 degrees
Fractional coordinates of all 4 atoms:
Sc: 0.5000 0.5000 0.2678
Pb: 0.5000 0.5000 0.7610
Sc: 0.0000 0.0000 0.0023
Al: 0.0000 0.0000 0.4690

Values from the calculation:
Space group ... Pmm2, No. 25
Magnetic moment ... 0.00 Bohr magnetons per cell
Energy relative to the elements ... -1.08 eV/f.u.